Material: AlBr2Cl
Method: DFT, PBE-GGA
State: optimized geometry

```
AlBr2Cl
1.0
1.710 -6.566 0.000
1.710 6.566 0.000
0.000 0.000 9.062
Al Br Cl
1 2 1
direct
0.000 0.000 0.000
0.000 0.000 0.504
0.500 0.500 0.197
0.500 0.500 0.823
```

Properties
The total energy comes out at -2.6151 eV/atom. For the calculated volume, the calculation gives 50.87 A^3/atom. The space-group type is No. 35. The density of states at the Fermi level is 0.149 states/eV/atom.